No. 1
HfZr6Hg after structural relaxation, computed with PBE.

Cell: 4.4767 4.4767 9.0248 Å, 90.00 90.00 90.00°
Element x y z (fractional)
Hf 0.0000 0.0000 0.5000
Zr 0.5000 0.0000 0.7487
Zr 0.5000 0.5000 0.5000
Zr 0.0000 0.5000 0.2513
Zr 0.5000 0.0000 0.2513
Zr 0.0000 0.5000 0.7487
Zr 0.5000 0.5000 0.0000
Hg 0.0000 0.0000 0.0000

Calculated values
As for the calculated volume: 180.9 Å³/f.u. The calculation puts the final energy at -7.742 eV per atom. The formation energy is -0.05 eV/atom. Its space group is P4/mmm.



No. 2
Hf2ZrHg after structural relaxation, computed with PBE.

Cell: 3.2380 3.2380 10.1095 Å, 80.78 80.78 60.00°
Element x y z (fractional)
Hf 0.7497 0.7497 0.7509
Hf 0.2503 0.2503 0.2491
Hg 0.0000 0.0000 0.0000
Zr 0.5000 0.5000 0.5000

Calculated values
As for the calculated volume: 90.2 Å³/f.u. The calculation puts the final energy at -7.208 eV per atom. The formation energy is -0.02 eV/atom. Its space group is R-3m.



No. 3
Hf2ZrHg after structural relaxation, computed with PBE.

Cell: 3.2340 3.2340 8.4576 Å, 90.00 90.00 90.00°
Element x y z (fractional)
Hg 0.5000 0.5000 0.0000
Zr 0.5000 0.5000 0.5000
Hf 0.0000 0.0000 0.7543
Hf 0.0000 0.0000 0.2457

Calculated values
As for the calculated volume: 88.5 Å³/f.u. The calculation puts the final energy at -7.255 eV per atom. The formation energy is -0.07 eV/atom. Its space group is P4/mmm.



No. 4
HfZr3Hg after structural relaxation, computed with PBE.

Cell: 5.1626 5.1626 5.1626 Å, 90.00 90.00 90.00°
Element x y z (fractional)
Zr 0.0000 0.0000 0.5000
Zr 0.0000 0.5000 0.0000
Zr 0.5000 0.0000 0.0000
Hf 0.0000 0.0000 0.0000
Hg 0.5000 0.5000 0.5000

Calculated values
For the energy above the most stable polymorph in this dataset, the calculation gives 1096 meV per atom. As for the calculated volume: 137.6 Å³/f.u. The calculation puts the final energy at -6.152 eV per atom. The formation energy is 1.03 eV/atom. Its space group is Pm-3m.



No. 5
Hf4Zr9Hg11 after structural relaxation, computed with PBE.

Cell: 3.2027 12.7409 12.7409 Å, 93.51 90.00 90.00°
Element x y z (fractional)
Zr 0.5000 0.2057 0.0311
Zr 0.5000 0.0311 0.2057
Zr 0.5000 0.5000 0.5000
Zr 0.5000 0.8651 0.3794
Zr 0.5000 0.6206 0.1349
Zr 0.5000 0.7943 0.9689
Zr 0.5000 0.3794 0.8651
Zr 0.5000 0.1349 0.6206
Zr 0.5000 0.9689 0.7943
Hg 0.0000 0.9259 0.5875
Hg 0.0000 0.8229 0.1771
Hg 0.0000 0.6460 0.3540
Hg 0.0000 0.2374 0.2374
Hg 0.0000 0.3540 0.6460
Hg 0.0000 0.4125 0.0741
Hg 0.0000 0.7626 0.7626
Hg 0.0000 0.5875 0.9259
Hg 0.0000 0.0741 0.4125
Hg 0.0000 0.1771 0.8229
Hg 0.0000 0.0000 0.0000
Hf 0.5000 0.4402 0.2762
Hf 0.5000 0.2762 0.4402
Hf 0.5000 0.5598 0.7238
Hf 0.5000 0.7238 0.5598

Calculated values
As for the calculated volume: 518.9 Å³/f.u. The calculation puts the final energy at -5.075 eV per atom. The formation energy is -0.07 eV/atom. Its space group is Cmmm.



No. 6
Hf3ZrHg after structural relaxation, computed with PBE.

Cell: 5.1253 5.1253 5.1253 Å, 90.00 90.00 90.00°
Element x y z (fractional)
Hf 0.0000 0.5000 0.0000
Hf 0.5000 0.0000 0.0000
Hf 0.0000 0.0000 0.5000
Zr 0.0000 0.0000 0.0000
Hg 0.5000 0.5000 0.5000

Calculated values
For the energy above the most stable polymorph in this dataset, the calculation gives 1206 meV per atom. As for the calculated volume: 134.6 Å³/f.u. The calculation puts the final energy at -6.526 eV per atom. The formation energy is 1.22 eV/atom. Its space group is Pm-3m.



No. 7
HfZr3Hg after structural relaxation, computed with PBE.

Cell: 5.2328 5.2328 5.2328 Å, 90.00 90.00 90.00°
Element x y z (fractional)
Hf 0.5000 0.5000 0.5000
Hg 0.0000 0.0000 0.0000
Zr 0.0000 0.0000 0.5000
Zr 0.0000 0.5000 0.0000
Zr 0.5000 0.0000 0.0000

Calculated values
For the energy above the most stable polymorph in this dataset, the calculation gives 1165 meV per atom. As for the calculated volume: 143.3 Å³/f.u. The calculation puts the final energy at -6.084 eV per atom. The formation energy is 1.10 eV/atom. Its space group is Pm-3m.



No. 8
Hf2ZrHg after structural relaxation, computed with PBE.

Cell: 4.9556 4.9556 4.9548 Å, 59.99 59.99 60.00°
Element x y z (fractional)
Zr 0.5000 0.5000 0.5001
Hg 0.7500 0.7500 0.7500
Hf 0.2500 0.2500 0.2500
Hf 0.0000 0.0000 0.9999

Calculated values
As for the calculated volume: 86.0 Å³/f.u. The calculation puts the final energy at -7.083 eV per atom. The formation energy is 0.11 eV/atom. Its space group is F-43m.